Below is an optimized crystal structure of AcInGeO, with properties calculated at the PBE level.

```
8
Lattice="4.4114 0.0000 0.0000 0.0000 4.4114 0.0000 0.0000 0.0000 9.5137" Properties=species:S:1:pos:R:3 pbc="T T T"
Ge 2.2057 0.0000 6.5540
Ge 0.0000 2.2057 2.9597
In 0.0000 0.0000 4.7569
In 2.2057 2.2057 4.7569
O 0.0000 0.0000 0.0000
O 2.2057 2.2057 0.0000
Ac 2.2057 0.0000 1.1997
Ac 0.0000 2.2057 8.3140
```

As for the space group: P4/nmm. Its density of states at the Fermi level is 0.929 states/eV/cell. Its total energy is -5.688 eV per atom. Its formation energy without anion corrections is -1.582 eV per atom. As for the calculated volume: 185.1 Å³ per cell. The spin magnetization comes out at 0.00 μB/f.u.